Entry 1:
## PmDy3Y5 (PBE-GGA)

Data for a relaxed structure of PmDy3Y5.

## Properties
Volume   607 Å³ per cell
Calculated density   5.90 g cm⁻³
E_tot   -5.340 eV per atom
SG   C2/c (15)

Cell lengths 6.2225, 9.2035, 11.2559 Å; angles 90.66, 90.00, 109.76 degrees
Fractional positions:
Dy1 0.8946 0.3286 0.9161
Y1 0.0289 0.6512 0.7519
Y2 0.4060 0.0000 0.7500
Pm1 0.1195 0.0000 0.2500
Dy2 0.0000 0.0000 0.0000
Dy3 0.0000 0.0000 0.5000
Dy4 0.1054 0.6714 0.0839
Y3 0.9711 0.3488 0.2481
Y4 0.5940 0.0000 0.2500
Y5 0.3778 0.3488 0.7481
Y6 0.1160 0.6744 0.4185
Pm2 0.8805 0.0000 0.7500
Y7 0.5584 0.6744 0.9185
Y8 0.6222 0.6512 0.2519
Dy5 0.5659 0.6714 0.5839
Y9 0.8840 0.3256 0.5815
Y10 0.4416 0.3256 0.0815
Dy6 0.4341 0.3286 0.4161

---

Entry 2:
## YPaMn (PBE-GGA)

Data for a relaxed structure of YPaMn.

## Properties
Volume   64 Å³ per cell
Calculated density   9.68 g cm⁻³
E_tot   -8.300 eV per atom
SG   I4mm (107)

Cell lengths 3.3658, 3.3658, 6.1537 Å; angles 105.87, 105.87, 90.00 degrees
Fractional positions:
Y1 0.0055 0.0055 0.0110
Pa1 0.2970 0.2970 0.5939
Mn1 0.6975 0.6975 0.3950